The following is a DFT calculation (GGA-PBE) of a geometry-optimized ScTi2InN structure.

The calculation puts the total DFT energy (no corrections) at -7.56 eV per atom. Its space-group type is P4/mmm, No. 123. As for the density of states at the Fermi level: 3.9 states/eV/cell.

Cell and atoms, written as extended XYZ:
```
5
Lattice="-0.430 -3.890 1.558 2.758 -1.442 -2.839 3.335 0.772 2.848" Properties=species:S:1:pos:R:3 pbc="T T T"
Sc 1.668 0.386 1.424
N 0.000 0.000 0.000
Ti 1.379 -0.721 -1.420
Ti -0.215 -1.945 0.779
In 2.831 -2.281 0.783
```